4
Lattice="2.8356 0.0000 0.0000 0.0000 4.4097 0.0000 -1.4178 -2.2049 4.3648" Properties=species:S:1:pos:R:3 comment="ZnIr2Ru SCAN PBEsol geometry" total_energy_ev_per_atom=-47.47 formation_energy_kj_per_mol_atoms=15.93 space_group="Imm2, No. 44" pbc="T T T"
Ru 1.4178 2.2049 0.1391
Ir 1.4178 0.0000 2.2057
Ir 1.4178 2.2049 4.2105
Zn 0.0000 2.2049 2.1744